No. 1
Compound: Sc2MoPd
Source: Alexandria via LeMat-Bulk
Functional: PBE-GGA
Structure: relaxed

Output
Calculated formation energy, eV per atom: -0.3230
Magnetization, μB/cell: 0.00

a b c (Å): 3.3097 3.3097 6.6350
angles (deg): 90.00 90.00 90.00
With the nearest neighbours (Å) after each atom.
Space group P4/mmm (No. 123)
Symmetry-distinct sites (fractional):
Sc: 0.0000 0.0000 0.2494 (multiplicity 2)  4 Mo 2.87, 4 Pd 2.87
Mo: 0.5000 0.5000 0.0000 (multiplicity 1)  8 Sc 2.87
Pd: 0.5000 0.5000 0.5000 (multiplicity 1)  8 Sc 2.87


No. 2
Compound: LiBeAl
Source: Alexandria via LeMat-Bulk
Functional: PBE-GGA
Structure: relaxed

Output
Calculated formation energy, eV per atom: 0.2068
Magnetization, μB/cell: 0.00
Energy above the lowest structure with this stoichiometry, eV/f.u.: 0.60

a b c (Å): 2.9390 4.3359 12.6540
angles (deg): 90.00 90.00 90.00
With the nearest neighbours (Å) after each atom.
Space group Fmm2 (No. 42)
Symmetry-distinct sites (fractional):
Li: 0.0000 0.0000 0.0000 (multiplicity 4)  2 Be 2.52, 4 Li 2.62, 2 Al 2.71
Be: 0.0000 0.0000 0.6614 (multiplicity 4)  2 Al 2.49, 2 Li 2.52, 4 Be 2.62
Al: 0.0000 0.0000 0.3201 (multiplicity 4)  2 Be 2.49, 4 Al 2.62, 2 Li 2.71


No. 3
Compound: ScMn4S5
Source: Alexandria via LeMat-Bulk
Functional: PBE-GGA
Structure: relaxed

Output
Magnetization, μB/cell: 37.39
Formation energy without anion corrections, kJ/mol of atoms: -76.2

a b c (Å): 8.2017 8.2017 5.1598
angles (deg): 90.00 90.00 90.00
With the nearest neighbours (Å) after each atom.
Space group I4/m (No. 87)
Symmetry-distinct sites (fractional):
Sc: 0.0000 0.0000 0.0000 (multiplicity 2)  6 S 2.58-2.61
Mn: 0.1017 0.2996 0.5000 (multiplicity 8)  6 S 2.58-2.59
S: 0.0000 0.0000 0.5000 (multiplicity 2)  2 Sc 2.58, 4 Mn 2.59
S: 0.1004 0.3017 0.0000 (multiplicity 8)  5 Mn 2.58-2.59, 1 Sc 2.61